VASP calculation (GGA+U) on crystalline KMnNbO4 at its relaxed geometry.

**Spin magnetization**: 0.71 μB/atom
**E_tot**: -7.586 eV per atom
**DOS at the Fermi energy**: 0.0 states/eV/cell

a b c (Å): 5.897 6.232 7.415
angles (deg): 90.00 104.04 90.00
Last column: magnetic moment on the atom in μB.
Fractional positions:
O1 0.052 0.524 0.325  0.03
O2 0.470 0.250 0.470  0.02
O3 0.635 0.250 0.895  0.02
O4 0.948 0.476 0.675  0.03
O5 0.948 0.024 0.675  0.03
Nb1 0.728 0.250 0.677  0.05
O6 0.365 0.750 0.105  0.02
K1 0.717 0.750 0.946  0.00
K2 0.283 0.250 0.054  0.00
Nb2 0.272 0.750 0.323  0.05
Mn1 0.128 0.250 0.492  4.59
O7 0.530 0.750 0.530  0.02
Mn2 0.872 0.750 0.508  4.59
O8 0.052 0.976 0.325  0.03

---

VASP calculation (GGA+U) on crystalline K3Mn3NbO8 at its relaxed geometry.

**Spin magnetization**: 0.87 μB/atom
**E_tot**: -6.854 eV per atom

a b c (Å): 6.322 6.322 7.220
angles (deg): 115.07 92.36 117.98
Last column: magnetic moment on the atom in μB.
Fractional positions:
O1 0.194 0.428 0.665  -0.01
O2 0.806 0.572 0.335  -0.01
Mn1 0.500 0.000 0.500  3.97
K1 0.000 0.000 0.000  0.00
Mn2 0.000 0.500 0.500  3.97
K2 0.000 0.500 0.000  0.01
O3 0.263 0.029 0.335  -0.01
O4 0.270 0.581 0.351  -0.06
O5 0.789 0.012 0.300  0.05
Nb1 0.000 0.000 0.500  0.06
O6 0.211 0.988 0.700  0.05
K3 0.500 0.500 0.000  0.00
O7 0.737 0.971 0.665  -0.01
O8 0.730 0.419 0.649  -0.06
Mn3 0.500 0.500 0.500  4.61

---

VASP calculation (GGA+U) on crystalline KPrMnNbO6 at its relaxed geometry.

**Spin magnetization**: 0.40 μB/atom
**E_tot**: -7.658 eV per atom
**DOS at the Fermi energy**: 0.9 states/eV/cell

a b c (Å): 5.667 5.667 5.667
angles (deg): 60.00 60.00 60.00
Last column: magnetic moment on the atom in μB.
Fractional positions:
O1 0.251 0.749 0.749  -0.02
O2 0.749 0.749 0.251  -0.02
O3 0.749 0.251 0.251  -0.02
O4 0.749 0.251 0.749  -0.02
K1 0.250 0.250 0.250  0.00
Mn1 0.000 0.000 0.000  3.95
O5 0.251 0.749 0.251  -0.02
Pr1 0.750 0.750 0.750  0.01
O6 0.251 0.251 0.749  -0.02
Nb1 0.500 0.500 0.500  0.07

---

- What is the E_tot in the third record?
  -7.658 eV per atom

---

Repeat the first record exactly.
VASP calculation (GGA+U) on crystalline KMnNbO4 at its relaxed geometry.

**Spin magnetization**: 0.71 μB/atom
**E_tot**: -7.586 eV per atom
**DOS at the Fermi energy**: 0.0 states/eV/cell

a b c (Å): 5.897 6.232 7.415
angles (deg): 90.00 104.04 90.00
Last column: magnetic moment on the atom in μB.
Fractional positions:
O1 0.052 0.524 0.325  0.03
O2 0.470 0.250 0.470  0.02
O3 0.635 0.250 0.895  0.02
O4 0.948 0.476 0.675  0.03
O5 0.948 0.024 0.675  0.03
Nb1 0.728 0.250 0.677  0.05
O6 0.365 0.750 0.105  0.02
K1 0.717 0.750 0.946  0.00
K2 0.283 0.250 0.054  0.00
Nb2 0.272 0.750 0.323  0.05
Mn1 0.128 0.250 0.492  4.59
O7 0.530 0.750 0.530  0.02
Mn2 0.872 0.750 0.508  4.59
O8 0.052 0.976 0.325  0.03

---

- What is the E_tot in the first record?
  -7.586 eV per atom

---

- Which formula does entry 3 have?
  KPrMnNbO6